A relaxed structure of PmSm2Ge3Pt4. Source: Alexandria, functional GGA-PBE.

a = 4.319 Å, b = 4.319 Å, c = 11.282 Å
α = 90.00°, β = 90.00°, γ = 90.00°
Atoms (fractional coordinates):
Pm  0.000  0.000  0.000
Sm  0.000  0.500  0.717
Sm  0.500  0.000  0.283
Ge  0.000  0.500  0.379
Ge  0.500  0.000  0.621
Ge  0.500  0.500  0.000
Pt  0.000  0.000  0.500
Pt  0.000  0.500  0.163
Pt  0.500  0.000  0.837
Pt  0.500  0.500  0.500

Computed properties:
Space group: P-4m2, No. 115
Formation energy from the elements (meV per atom): -918.1

---

A relaxed structure of K4CuPt4. Source: Alexandria, functional GGA-PBE.

a = 8.473 Å, b = 8.473 Å, c = 6.172 Å
α = 90.00°, β = 90.00°, γ = 90.00°
Atoms (fractional coordinates):
K  0.078  0.657  0.113
K  0.157  0.922  0.613
K  0.343  0.578  0.613
K  0.422  0.843  0.113
K  0.578  0.157  0.887
K  0.657  0.422  0.387
K  0.843  0.078  0.387
K  0.922  0.343  0.887
Cu  0.250  0.250  0.750
Cu  0.750  0.750  0.250
Pt  0.112  0.349  0.403
Pt  0.151  0.112  0.097
Pt  0.349  0.388  0.097
Pt  0.388  0.151  0.403
Pt  0.612  0.849  0.597
Pt  0.651  0.612  0.903
Pt  0.849  0.888  0.903
Pt  0.888  0.651  0.597

Computed properties:
Space group: P4_2/n, No. 86
Formation energy from the elements (meV per atom): 152.7

---

A relaxed structure of Na3Mo15Se19. Source: Alexandria, functional GGA-PBE.

a = 9.761 Å, b = 19.968 Å, c = 9.780 Å
α = 90.00°, β = 118.96°, γ = 90.00°
Atoms (fractional coordinates):
Na  0.166  0.112  0.339
Na  0.166  0.388  0.339
Na  0.329  0.250  0.044
Na  0.671  0.750  0.956
Na  0.834  0.612  0.661
Na  0.834  0.888  0.661
Mo  0.004  0.636  0.317
Mo  0.004  0.864  0.317
Mo  0.022  0.750  0.173
Mo  0.153  0.750  0.487
Mo  0.190  0.635  0.190
Mo  0.190  0.865  0.190
Mo  0.311  0.635  0.498
Mo  0.311  0.865  0.498
Mo  0.335  0.750  0.345
Mo  0.339  0.058  0.987
Mo  0.339  0.442  0.987
Mo  0.348  0.556  0.833
Mo  0.348  0.944  0.833
Mo  0.481  0.556  0.151
Mo  0.481  0.944  0.151
Mo  0.519  0.056  0.849
Mo  0.519  0.444  0.849
Mo  0.652  0.056  0.167
Mo  0.652  0.444  0.167
Mo  0.661  0.558  0.013
Mo  0.661  0.942  0.013
Mo  0.665  0.250  0.655
Mo  0.689  0.135  0.502
Mo  0.689  0.365  0.502
Mo  0.810  0.135  0.810
Mo  0.810  0.365  0.810
Mo  0.847  0.250  0.513
Mo  0.978  0.250  0.827
Mo  0.996  0.136  0.683
Mo  0.996  0.364  0.683
Se  0.115  0.141  0.992
Se  0.115  0.359  0.992
Se  0.126  0.643  0.624
Se  0.126  0.857  0.624
Se  0.150  0.250  0.689
Se  0.168  0.534  0.335
Se  0.168  0.966  0.335
Se  0.177  0.548  0.970
Se  0.177  0.952  0.970
Se  0.201  0.750  0.045
Se  0.214  0.051  0.681
Se  0.214  0.449  0.681
Se  0.454  0.750  0.644
Se  0.467  0.052  0.291
Se  0.467  0.448  0.291
Se  0.483  0.657  0.999
Se  0.483  0.843  0.999
Se  0.496  0.643  0.372
Se  0.496  0.857  0.372
Se  0.504  0.143  0.628
Se  0.504  0.357  0.628
Se  0.517  0.157  0.001
Se  0.517  0.343  0.001
Se  0.533  0.552  0.709
Se  0.533  0.948  0.709
Se  0.546  0.250  0.356
Se  0.786  0.551  0.319
Se  0.786  0.949  0.319
Se  0.799  0.250  0.955
Se  0.823  0.048  0.030
Se  0.823  0.452  0.030
Se  0.832  0.034  0.665
Se  0.832  0.466  0.665
Se  0.850  0.750  0.311
Se  0.874  0.143  0.376
Se  0.874  0.357  0.376
Se  0.885  0.641  0.008
Se  0.885  0.859  0.008

Computed properties:
Raw formation energy (eV/atom): -0.604
Space group: P2_1/m, No. 11

---

A relaxed structure of SiPIr2. Source: Alexandria, functional GGA-PBE.

a = 7.691 Å, b = 7.691 Å, c = 7.691 Å
α = 22.17°, β = 22.17°, γ = 22.17°
Atoms (fractional coordinates):
Si  0.000  0.000  0.000
P  0.254  0.254  0.254
Ir  0.515  0.515  0.515
Ir  0.742  0.742  0.742

Computed properties:
Relative energy among the computed polymorphs (meV/atom): 233.2
Raw formation energy (eV/atom): -0.134
Space group: R3m, No. 160

---

Final energy for the records above, in order: -6.1385; -3.4750; -6.8911; -7.2730 eV/atom